(1)
First-principles (PBE-GGA) data for a geometry-optimized Tc8B2H structure, as listed in Alexandria via LeMat-Bulk.

Summary:
SG: C2/m
Total energy, eV/atom: -9.209

Lattice parameters (Å, degrees): 7.058 7.058 6.574 95.88 95.88 23.66
Fractional positions:
Tc  0.014  0.014  0.208
Tc  0.210  0.210  0.325
Tc  0.345  0.345  0.019
Tc  0.407  0.407  0.467
Tc  0.593  0.593  0.533
Tc  0.655  0.655  0.981
Tc  0.790  0.790  0.675
Tc  0.986  0.986  0.792
B  0.176  0.176  0.736
B  0.824  0.824  0.264
H  0.500  0.500  0.000

(2)
First-principles (PBE-GGA) data for a geometry-optimized TlTcBH2 structure, as listed in Alexandria via LeMat-Bulk.

Summary:
SG: P4/mmm
Total energy, eV/atom: -4.607

Lattice parameters (Å, degrees): 3.644 3.644 4.259 90.00 90.00 90.00
Fractional positions:
Tl  0.000  0.000  0.000
Tc  0.500  0.500  0.500
B  0.500  0.500  0.000
H  0.000  0.500  0.500
H  0.500  0.000  0.500

(3)
First-principles (PBE-GGA) data for a geometry-optimized Tc2BHW structure, as listed in Alexandria via LeMat-Bulk.

Summary:
SG: P4/mmm
Total energy, eV/atom: -7.657

Lattice parameters (Å, degrees): 4.033 4.033 4.182 90.00 90.00 90.00
Fractional positions:
Tc  0.000  0.500  0.000
Tc  0.500  0.000  0.000
B  0.000  0.000  0.000
H  0.500  0.500  0.500
W  0.000  0.000  0.500

(4)
First-principles (PBE-GGA) data for a geometry-optimized ZnTcB2H structure, as listed in Alexandria via LeMat-Bulk.

Summary:
SG: P4/mmm
Total energy, eV/atom: -4.768

Lattice parameters (Å, degrees): 3.701 3.701 3.290 90.00 90.00 90.00
Fractional positions:
Zn  0.000  0.000  0.000
Tc  0.500  0.500  0.000
B  0.000  0.500  0.500
B  0.500  0.000  0.500
H  0.500  0.500  0.500

(5)
First-principles (PBE-GGA) data for a geometry-optimized BTeH2 structure, as listed in Alexandria via LeMat-Bulk.

Summary:
Excess energy over the best structure of this formula in the dataset, meV per atom: 0.0
SG: I4_1/amd

Lattice parameters (Å, degrees): 6.222 6.222 6.222 145.52 145.52 49.56
Fractional positions:
B  0.375  0.625  0.750
B  0.625  0.375  0.250
Te  0.125  0.875  0.250
Te  0.875  0.125  0.750
H  0.000  0.500  0.500
H  0.500  0.000  0.000
H  0.500  0.500  0.000
H  0.500  0.500  0.500

(6)
First-principles (PBE-GGA) data for a geometry-optimized BTeH2 structure, as listed in Alexandria via LeMat-Bulk.

Summary:
Excess energy over the best structure of this formula in the dataset, meV per atom: 373.6
SG: Fm-3m

Lattice parameters (Å, degrees): 3.789 3.789 3.789 60.00 60.00 60.00
Fractional positions:
B  0.000  0.000  0.000
Te  0.500  0.500  0.500
H  0.250  0.250  0.250
H  0.750  0.750  0.750

(7)
First-principles (PBE-GGA) data for a geometry-optimized BTeH4 structure, as listed in Alexandria via LeMat-Bulk.

Summary:
SG: P1
Total energy, eV/atom: -3.700

Lattice parameters (Å, degrees): 3.040 5.199 6.222 99.32 98.15 95.88
Fractional positions:
B  0.000  0.000  0.000
Te  0.017  0.774  0.264
H  0.279  0.186  0.021
H  0.480  0.341  0.601
H  0.617  0.452  0.683
H  0.727  0.932  0.836

(8)
First-principles (PBE-GGA) data for a geometry-optimized BTe2H structure, as listed in Alexandria via LeMat-Bulk.

Summary:
Excess energy over the best structure of this formula in the dataset, meV per atom: 267.3
SG: R-3m

Lattice parameters (Å, degrees): 7.154 7.154 7.154 29.56 29.56 29.56
Fractional positions:
B  0.000  0.000  0.000
Te  0.402  0.402  0.402
Te  0.598  0.598  0.598
H  0.500  0.500  0.500

(9)
First-principles (PBE-GGA) data for a geometry-optimized BTe2H structure, as listed in Alexandria via LeMat-Bulk.

Summary:
Excess energy over the best structure of this formula in the dataset, meV per atom: 0.0
SG: I-42d

Lattice parameters (Å, degrees): 6.534 6.534 6.534 131.05 131.05 71.74
Fractional positions:
B  0.000  0.000  0.000
B  0.750  0.250  0.500
Te  0.117  0.625  0.992
Te  0.375  0.367  0.492
Te  0.633  0.125  0.008
Te  0.875  0.883  0.508
H  0.250  0.750  0.500
H  0.500  0.500  0.000

(10)
First-principles (PBE-GGA) data for a geometry-optimized BTe3H structure, as listed in Alexandria via LeMat-Bulk.

Summary:
Excess energy over the best structure of this formula in the dataset, meV per atom: 0.0
SG: Pm-3m

Lattice parameters (Å, degrees): 4.899 4.899 4.899 90.00 90.00 90.00
Fractional positions:
B  0.000  0.000  0.000
Te  0.000  0.000  0.500
Te  0.000  0.500  0.000
Te  0.500  0.000  0.000
H  0.500  0.500  0.500

(11)
First-principles (PBE-GGA) data for a geometry-optimized BTe2H structure, as listed in Alexandria via LeMat-Bulk.

Summary:
Excess energy over the best structure of this formula in the dataset, meV per atom: 706.1
SG: Fm-3m

Lattice parameters (Å, degrees): 4.515 4.515 4.515 60.00 60.00 60.00
Fractional positions:
B  0.000  0.000  0.000
Te  0.250  0.250  0.250
Te  0.750  0.750  0.750
H  0.500  0.500  0.500

(12)
First-principles (PBE-GGA) data for a geometry-optimized B2TeH6 structure, as listed in Alexandria via LeMat-Bulk.

Summary:
SG: Fm-3m
Total energy, eV/atom: -2.532

Lattice parameters (Å, degrees): 4.508 4.508 4.508 60.00 60.00 60.00
Fractional positions:
B  0.250  0.250  0.250
B  0.750  0.750  0.750
Te  0.000  0.000  0.000
H  0.348  0.348  0.652
H  0.348  0.652  0.348
H  0.348  0.652  0.652
H  0.652  0.348  0.348
H  0.652  0.348  0.652
H  0.652  0.652  0.348

(13)
First-principles (PBE-GGA) data for a geometry-optimized BTe2H structure, as listed in Alexandria via LeMat-Bulk.

Summary:
Excess energy over the best structure of this formula in the dataset, meV per atom: 513.5
SG: R-3m

Lattice parameters (Å, degrees): 7.254 7.254 7.254 32.51 32.51 32.51
Fractional positions:
B  0.000  0.000  0.000
Te  0.099  0.099  0.099
Te  0.901  0.901  0.901
H  0.500  0.500  0.500

(14)
First-principles (PBE-GGA) data for a geometry-optimized TiBTeH2 structure, as listed in Alexandria via LeMat-Bulk.

Summary:
SG: P4/mmm
Total energy, eV/atom: -4.179

Lattice parameters (Å, degrees): 3.745 3.745 4.575 90.00 90.00 90.00
Fractional positions:
Ti  0.000  0.000  0.000
B  0.000  0.000  0.500
Te  0.500  0.500  0.000
H  0.000  0.500  0.500
H  0.500  0.000  0.500

(15)
First-principles (PBE-GGA) data for a geometry-optimized ThBH structure, as listed in Alexandria via LeMat-Bulk.

Summary:
Excess energy over the best structure of this formula in the dataset, meV per atom: 315.5
SG: I4mm

Lattice parameters (Å, degrees): 4.129 4.129 4.129 124.48 124.48 82.41
Fractional positions:
Th  0.000  0.000  0.000
B  0.410  0.410  0.000
H  0.613  0.613  0.000

(16)
First-principles (PBE-GGA) data for a geometry-optimized ThB2H6 structure, as listed in Alexandria via LeMat-Bulk.

Summary:
SG: P-1
Total energy, eV/atom: -4.725

Lattice parameters (Å, degrees): 3.868 3.882 5.153 93.99 94.82 90.40
Fractional positions:
Th  0.000  0.000  0.000
B  0.479  0.482  0.829
B  0.521  0.518  0.171
H  0.245  0.581  0.278
H  0.272  0.273  0.690
H  0.409  0.756  0.719
H  0.591  0.244  0.281
H  0.728  0.727  0.310
H  0.755  0.419  0.722

(17)
First-principles (PBE-GGA) data for a geometry-optimized ThB2H8 structure, as listed in Alexandria via LeMat-Bulk.

Summary:
Excess energy over the best structure of this formula in the dataset, meV per atom: 0.0
SG: C2/m

Lattice parameters (Å, degrees): 7.143 7.143 4.095 100.75 100.75 32.18
Fractional positions:
Th  0.000  0.000  0.000
B  0.131  0.131  0.585
B  0.869  0.869  0.415
H  0.179  0.179  0.364
H  0.180  0.180  0.866
H  0.181  0.667  0.449
H  0.333  0.819  0.551
H  0.667  0.181  0.449
H  0.819  0.333  0.551
H  0.820  0.820  0.134
H  0.821  0.821  0.636

(18)
First-principles (PBE-GGA) data for a geometry-optimized ThBH structure, as listed in Alexandria via LeMat-Bulk.

Summary:
Excess energy over the best structure of this formula in the dataset, meV per atom: 363.7
SG: C2/m

Lattice parameters (Å, degrees): 5.535 5.535 4.214 93.53 93.53 41.21
Fractional positions:
Th  0.127  0.127  0.257
Th  0.873  0.873  0.743
B  0.397  0.397  0.272
B  0.603  0.603  0.728
H  0.320  0.320  0.010
H  0.680  0.680  0.990

(19)
First-principles (PBE-GGA) data for a geometry-optimized ThB3H12 structure, as listed in Alexandria via LeMat-Bulk.

Summary:
SG: R-3c
Total energy, eV/atom: -4.452

Lattice parameters (Å, degrees): 8.076 8.076 8.076 59.78 59.78 59.78
Fractional positions:
Th  0.000  0.000  0.000
Th  0.500  0.500  0.500
B  0.248  0.750  0.252
B  0.250  0.748  0.752
B  0.252  0.248  0.750
B  0.748  0.752  0.250
B  0.750  0.252  0.248
B  0.752  0.250  0.748
H  0.096  0.900  0.281
H  0.100  0.719  0.904
H  0.102  0.278  0.719
H  0.219  0.600  0.404
H  0.219  0.778  0.602
H  0.222  0.398  0.781
H  0.278  0.719  0.102
H  0.281  0.096  0.900
H  0.281  0.898  0.722
H  0.398  0.781  0.222
H  0.400  0.596  0.781
H  0.404  0.219  0.600
H  0.596  0.781  0.400
H  0.600  0.404  0.219
H  0.602  0.219  0.778
H  0.719  0.102  0.278
H  0.719  0.904  0.100
H  0.722  0.281  0.898
H  0.778  0.602  0.219
H  0.781  0.222  0.398
H  0.781  0.400  0.596
H  0.898  0.722  0.281
H  0.900  0.281  0.096
H  0.904  0.100  0.719

(20)
First-principles (PBE-GGA) data for a geometry-optimized ThB2H8 structure, as listed in Alexandria via LeMat-Bulk.

Summary:
Excess energy over the best structure of this formula in the dataset, meV per atom: 70.2
SG: C2/m

Lattice parameters (Å, degrees): 5.352 5.352 3.705 99.51 99.51 74.29
Fractional positions:
Th  0.000  0.000  0.000
B  0.265  0.265  0.657
B  0.735  0.735  0.343
H  0.036  0.351  0.733
H  0.263  0.263  0.321
H  0.351  0.036  0.733
H  0.407  0.407  0.800
H  0.593  0.593  0.200
H  0.649  0.964  0.267
H  0.737  0.737  0.679
H  0.964  0.649  0.267